(1)
Entry from Alexandria: crystalline Mn2NiCl at its relaxed geometry (PBE).

Computed properties:
density of states at the Fermi level	1.78	states/eV/f.u.
V	17.48	A^3/atom
excess energy over the best structure of this formula in the dataset	472	meV/atom
energy relative to the elements, uncorrected	446	meV/atom
magnetic moment	17.70	Bohr magnetons per cell
calculated total energy	-0.2222	hartree per atom
space-group type	I-42d (122)

CIF file:
```
data_Mn2NiCl
_cell_length_a 5.6643
_cell_length_b 5.6643
_cell_length_c 5.6643
_cell_angle_alpha 110.26
_cell_angle_beta 110.26
_cell_angle_gamma 107.90
_symmetry_space_group_name_H-M 'P 1'
_symmetry_Int_Tables_number 1
loop_
_symmetry_equiv_pos_as_xyz
'x,y,z'
loop_
_atom_site_label
_atom_site_type_symbol
_atom_site_fract_x
_atom_site_fract_y
_atom_site_fract_z
Mn1 Mn 0.1147 0.1250 0.4897
Mn2 Mn 0.3750 0.8853 0.0103
Mn3 Mn 0.6353 0.6250 0.5103
Mn4 Mn 0.8750 0.3647 0.9897
Ni1 Ni 0.0000 0.0000 0.0000
Ni2 Ni 0.7500 0.2500 0.5000
Cl1 Cl 0.2500 0.7500 0.5000
Cl2 Cl 0.5000 0.5000 0.0000
```



(2)
Entry from Alexandria: crystalline LaCo3Ge at its relaxed geometry (PBE).

Computed properties:
density of states at the Fermi level	1.17	states/eV/f.u.
V	17.26	A^3/atom
energy of formation	0.170	eV per atom
magnetic moment	0.00	Bohr magnetons per cell
calculated total energy	-0.2206	hartree per atom
space-group type	Pm-3m (221)

CIF file:
```
data_LaCo3Ge
_cell_length_a 4.4195
_cell_length_b 4.4195
_cell_length_c 4.4195
_cell_angle_alpha 90.00
_cell_angle_beta 90.00
_cell_angle_gamma 90.00
_symmetry_space_group_name_H-M 'P 1'
_symmetry_Int_Tables_number 1
loop_
_symmetry_equiv_pos_as_xyz
'x,y,z'
loop_
_atom_site_label
_atom_site_type_symbol
_atom_site_fract_x
_atom_site_fract_y
_atom_site_fract_z
La1 La 0.0000 0.0000 0.0000
Co1 Co 0.0000 0.5000 0.5000
Co2 Co 0.5000 0.0000 0.5000
Co3 Co 0.5000 0.5000 0.0000
Ge1 Ge 0.5000 0.5000 0.5000
```



(3)
Entry from Alexandria: crystalline CaInPCl2 at its relaxed geometry (PBE).

Computed properties:
density of states at the Fermi level	4.87	states/eV/f.u.
V	31.89	A^3/atom
excess energy over the best structure of this formula in the dataset	148	meV/atom
energy relative to the elements, uncorrected	-581	meV/atom
magnetic moment	0.23	Bohr magnetons per cell
calculated total energy	-0.1231	hartree per atom
space-group type	P4/mmm (123)

CIF file:
```
data_CaInPCl2
_cell_length_a 5.5425
_cell_length_b 5.5425
_cell_length_c 5.1905
_cell_angle_alpha 90.00
_cell_angle_beta 90.00
_cell_angle_gamma 90.00
_symmetry_space_group_name_H-M 'P 1'
_symmetry_Int_Tables_number 1
loop_
_symmetry_equiv_pos_as_xyz
'x,y,z'
loop_
_atom_site_label
_atom_site_type_symbol
_atom_site_fract_x
_atom_site_fract_y
_atom_site_fract_z
Ca1 Ca 0.0000 0.0000 0.0000
In1 In 0.5000 0.5000 0.5000
P1 P 0.5000 0.5000 0.0000
Cl1 Cl 0.0000 0.5000 0.5000
Cl2 Cl 0.5000 0.0000 0.5000
```



(4)
Entry from Alexandria: crystalline NaLaMn2 at its relaxed geometry (PBE).

Computed properties:
density of states at the Fermi level	3.14	states/eV/f.u.
V	23.88	A^3/atom
excess energy over the best structure of this formula in the dataset	165	meV/atom
energy of formation	0.811	eV per atom
magnetic moment	13.40	Bohr magnetons per cell
calculated total energy	-0.1961	hartree per atom
space-group type	I-42d (122)

CIF file:
```
data_NaLaMn2
_cell_length_a 6.3911
_cell_length_b 6.3911
_cell_length_c 6.3911
_cell_angle_alpha 102.72
_cell_angle_beta 102.72
_cell_angle_gamma 124.04
_symmetry_space_group_name_H-M 'P 1'
_symmetry_Int_Tables_number 1
loop_
_symmetry_equiv_pos_as_xyz
'x,y,z'
loop_
_atom_site_label
_atom_site_type_symbol
_atom_site_fract_x
_atom_site_fract_y
_atom_site_fract_z
Na1 Na 0.0000 0.0000 0.0000
Na2 Na 0.7500 0.2500 0.5000
La1 La 0.2500 0.7500 0.5000
La2 La 0.5000 0.5000 0.0000
Mn1 Mn 0.1143 0.6250 0.9893
Mn2 Mn 0.3750 0.3643 0.4893
Mn3 Mn 0.6357 0.1250 0.0107
Mn4 Mn 0.8750 0.8857 0.5107
```